(1)
# Tb4Sm7Tm (GGA-PBE, optimized geometry)
data_Tb4Sm7Tm
_cell_length_a 16.1440
_cell_length_b 5.9560
_cell_length_c 9.3264
_cell_angle_alpha 90.00
_cell_angle_beta 115.97
_cell_angle_gamma 90.00
_symmetry_space_group_name_H-M 'C 1 2/m 1'
_symmetry_Int_Tables_number 12
loop_
_symmetry_equiv_pos_as_xyz
'x,y,z'
'-x,-y,-z'
'-x,y,-z'
'x,-y,z'
'x+1/2,y+1/2,z'
'-x+1/2,-y+1/2,-z'
'-x+1/2,y+1/2,-z'
'x+1/2,-y+1/2,z'
loop_
_atom_site_label
_atom_site_type_symbol
_atom_site_fract_x
_atom_site_fract_y
_atom_site_fract_z
Tb1 Tb 0.0730 0.0000 0.1985
Tb2 Tb 0.1734 0.0000 0.8895
Sm1 Sm 0.0000 0.0000 0.5000
Sm2 Sm 0.0818 0.5000 0.9403
Sm3 Sm 0.2078 0.5000 0.7283
Sm4 Sm 0.2104 0.5000 0.3785
Tm1 Tm 0.0000 0.5000 0.5000
# * energy relative to the elements: 0.23 eV per atom

=====

(2)
# Rb3Sm3InSe8 (GGA-PBE, optimized geometry)
data_Rb3Sm3InSe8
_cell_length_a 14.6365
_cell_length_b 8.4450
_cell_length_c 9.5793
_cell_angle_alpha 90.00
_cell_angle_beta 120.66
_cell_angle_gamma 90.00
_symmetry_space_group_name_H-M 'C 1 2/m 1'
_symmetry_Int_Tables_number 12
loop_
_symmetry_equiv_pos_as_xyz
'x,y,z'
'-x,-y,-z'
'-x,y,-z'
'x,-y,z'
'x+1/2,y+1/2,z'
'-x+1/2,-y+1/2,-z'
'-x+1/2,y+1/2,-z'
'x+1/2,-y+1/2,z'
loop_
_atom_site_label
_atom_site_type_symbol
_atom_site_fract_x
_atom_site_fract_y
_atom_site_fract_z
Rb1 Rb 0.0000 0.0000 0.0000
Rb2 Rb 0.2500 0.2500 0.0000
Sm1 Sm 0.0000 0.5000 0.5000
Sm2 Sm 0.2500 0.2500 0.5000
In1 In 0.0000 0.0000 0.5000
Se1 Se 0.0163 0.2427 0.3067
Se2 Se 0.2259 0.0000 0.6932
Se3 Se 0.2333 0.5000 0.6995
# * formation energy (no corrections): -1.40 eV per atom

=====

(3)
# AsPd (GGA-PBE, optimized geometry)
data_AsPd
_cell_length_a 6.9128
_cell_length_b 6.9128
_cell_length_c 6.9128
_cell_angle_alpha 90.00
_cell_angle_beta 90.00
_cell_angle_gamma 90.00
_symmetry_space_group_name_H-M 'P m -3 n'
_symmetry_Int_Tables_number 223
_symmetry_space_group_name_Hall '-P 4n 2 3'
loop_
_atom_site_label
_atom_site_type_symbol
_atom_site_fract_x
_atom_site_fract_y
_atom_site_fract_z
As1 As 0.0000 0.2500 0.5000
Pd1 Pd 0.0000 0.5000 0.2500
# * energy relative to the elements: 0.08 eV per atom

=====

(4)
# CsCdHgSe2 (GGA-PBE, optimized geometry)
data_CsCdHgSe2
_cell_length_a 6.4430
_cell_length_b 14.7031
_cell_length_c 7.5741
_cell_angle_alpha 90.00
_cell_angle_beta 90.00
_cell_angle_gamma 90.00
_symmetry_space_group_name_H-M 'C m m e'
_symmetry_Int_Tables_number 67
_symmetry_space_group_name_Hall '-C 2a 2'
loop_
_atom_site_label
_atom_site_type_symbol
_atom_site_fract_x
_atom_site_fract_y
_atom_site_fract_z
Cs1 Cs 0.0000 0.2500 0.2358
Cd1 Cd 0.2500 0.0000 0.0000
Hg1 Hg 0.0000 0.0000 0.5000
Se1 Se 0.0000 0.1118 0.8080
# * formation energy (no corrections): -0.57 eV per atom

=====

(5)
# ReAuSe2 (GGA-PBE, optimized geometry)
data_ReAuSe2
_cell_length_a 4.3533
_cell_length_b 4.3533
_cell_length_c 7.2682
_cell_angle_alpha 90.00
_cell_angle_beta 90.00
_cell_angle_gamma 90.00
_symmetry_space_group_name_H-M 'I 4/m m m'
_symmetry_Int_Tables_number 139
_symmetry_space_group_name_Hall '-I 4 2'
loop_
_atom_site_label
_atom_site_type_symbol
_atom_site_fract_x
_atom_site_fract_y
_atom_site_fract_z
Re1 Re 0.0000 0.0000 0.0000
Au1 Au 0.0000 0.0000 0.5000
Se1 Se 0.0000 0.5000 0.2500
# * formation energy (no corrections): 0.67 eV per atom

=====

(6)
# Dy3Er6In (GGA-PBE, optimized geometry)
data_Dy3Er6In
_cell_length_a 9.5602
_cell_length_b 5.5009
_cell_length_c 12.3018
_cell_angle_alpha 90.00
_cell_angle_beta 110.88
_cell_angle_gamma 90.00
_symmetry_space_group_name_H-M 'P 1 21/m 1'
_symmetry_Int_Tables_number 11
loop_
_symmetry_equiv_pos_as_xyz
'x,y,z'
'-x,-y,-z'
'-x,y+1/2,-z'
'x,-y+1/2,z'
loop_
_atom_site_label
_atom_site_type_symbol
_atom_site_fract_x
_atom_site_fract_y
_atom_site_fract_z
Dy1 Dy 0.0260 0.2500 0.3703
Dy2 Dy 0.1003 0.7500 0.2215
Dy3 Dy 0.2723 0.2500 0.9727
Er1 Er 0.0395 0.7500 0.9308
Er2 Er 0.1926 0.2500 0.6694
Er3 Er 0.2589 0.7500 0.5126
Er4 Er 0.3459 0.2500 0.2957
Er5 Er 0.3480 0.7500 0.8268
Er6 Er 0.4259 0.7500 0.1386
In1 In 0.4681 0.2500 0.5827
# * energy relative to the elements: -0.07 eV per atom

=====

(7)
# Li2Os (GGA-PBE, optimized geometry)
data_Li2Os
_cell_length_a 5.9991
_cell_length_b 5.9991
_cell_length_c 5.9991
_cell_angle_alpha 90.00
_cell_angle_beta 90.00
_cell_angle_gamma 90.00
_symmetry_space_group_name_H-M 'P a -3'
_symmetry_Int_Tables_number 205
_symmetry_space_group_name_Hall '-P 2ac 2ab 3'
loop_
_atom_site_label
_atom_site_type_symbol
_atom_site_fract_x
_atom_site_fract_y
_atom_site_fract_z
Li1 Li 0.1241 0.1241 0.1241
Os1 Os 0.0000 0.0000 0.5000
# * energy relative to the elements: 1.45 eV per atom

=====

(8)
# Cd2HgMo (GGA-PBE, optimized geometry)
data_Cd2HgMo
_cell_length_a 3.7903
_cell_length_b 4.4359
_cell_length_c 9.4497
_cell_angle_alpha 90.00
_cell_angle_beta 90.00
_cell_angle_gamma 90.00
_symmetry_space_group_name_H-M 'C m m 2'
_symmetry_Int_Tables_number 35
loop_
_symmetry_equiv_pos_as_xyz
'x,y,z'
'-x,-y,z'
'-x,y,z'
'x,-y,z'
'x+1/2,y+1/2,z'
'-x+1/2,-y+1/2,z'
'-x+1/2,y+1/2,z'
'x+1/2,-y+1/2,z'
loop_
_atom_site_label
_atom_site_type_symbol
_atom_site_fract_x
_atom_site_fract_y
_atom_site_fract_z
Cd1 Cd 0.0000 0.0000 0.0000
Cd2 Cd 0.0000 0.5000 0.2646
Hg1 Hg 0.0000 0.0000 0.5321
Mo1 Mo 0.0000 0.5000 0.7672
# * energy relative to the elements: 0.38 eV per atom

=====

(9)
# MgPaNb2 (GGA-PBE, optimized geometry)
data_MgPaNb2
_cell_length_a 4.6480
_cell_length_b 4.6480
_cell_length_c 3.7433
_cell_angle_alpha 90.00
_cell_angle_beta 90.00
_cell_angle_gamma 90.00
_symmetry_space_group_name_H-M 'P 4/m m m'
_symmetry_Int_Tables_number 123
_symmetry_space_group_name_Hall '-P 4 2'
loop_
_atom_site_label
_atom_site_type_symbol
_atom_site_fract_x
_atom_site_fract_y
_atom_site_fract_z
Mg1 Mg 0.0000 0.0000 0.0000
Pa1 Pa 0.5000 0.5000 0.0000
Nb1 Nb 0.0000 0.5000 0.5000
# * energy relative to the elements: 0.22 eV per atom

=====

(10)
# Na2LaSn2 (GGA-PBE, optimized geometry)
data_Na2LaSn2
_cell_length_a 8.2594
_cell_length_b 8.2594
_cell_length_c 4.8060
_cell_angle_alpha 90.00
_cell_angle_beta 90.00
_cell_angle_gamma 90.00
_symmetry_space_group_name_H-M 'P 4/m b m'
_symmetry_Int_Tables_number 127
_symmetry_space_group_name_Hall '-P 4 2ab'
loop_
_atom_site_label
_atom_site_type_symbol
_atom_site_fract_x
_atom_site_fract_y
_atom_site_fract_z
Na1 Na 0.1658 0.3342 0.0000
La1 La 0.0000 0.0000 0.5000
Sn1 Sn 0.1231 0.6231 0.5000
# * energy relative to the elements: -0.17 eV per atom

=====

(11)
# Sm12Ga6Os (GGA-PBE, optimized geometry)
data_Sm12Ga6Os
_cell_length_a 13.0215
_cell_length_b 13.0215
_cell_length_c 12.2207
_cell_angle_alpha 90.00
_cell_angle_beta 90.00
_cell_angle_gamma 120.00
_symmetry_space_group_name_H-M 'R -3'
_symmetry_Int_Tables_number 148
_symmetry_space_group_name_Hall '-R 3'
loop_
_atom_site_label
_atom_site_type_symbol
_atom_site_fract_x
_atom_site_fract_y
_atom_site_fract_z
Sm1 Sm 0.0373 0.2117 0.3935
Sm2 Sm 0.0495 0.2010 0.8833
Ga1 Ga 0.0534 0.2719 0.6451
Os1 Os 0.0000 0.0000 0.0000
# * energy relative to the elements: -0.19 eV per atom

=====

(12)
# CeHo2Hg6 (GGA-PBE, optimized geometry)
data_CeHo2Hg6
_cell_length_a 8.6640
_cell_length_b 8.6640
_cell_length_c 3.4048
_cell_angle_alpha 90.00
_cell_angle_beta 90.00
_cell_angle_gamma 120.00
_symmetry_space_group_name_H-M 'P 6/m m m'
_symmetry_Int_Tables_number 191
_symmetry_space_group_name_Hall '-P 6 2'
loop_
_atom_site_label
_atom_site_type_symbol
_atom_site_fract_x
_atom_site_fract_y
_atom_site_fract_z
Ce1 Ce 0.0000 0.0000 0.0000
Ho1 Ho 0.3333 0.6667 0.0000
Hg1 Hg 0.0000 0.3358 0.5000
# * energy relative to the elements: -0.36 eV per atom

=====

(13)
# LiSc3Cl8 (GGA-PBE, optimized geometry)
data_LiSc3Cl8
_cell_length_a 12.7215
_cell_length_b 7.3338
_cell_length_c 7.9314
_cell_angle_alpha 90.00
_cell_angle_beta 123.19
_cell_angle_gamma 90.00
_symmetry_space_group_name_H-M 'C 1 2/m 1'
_symmetry_Int_Tables_number 12
loop_
_symmetry_equiv_pos_as_xyz
'x,y,z'
'-x,-y,-z'
'-x,y,-z'
'x,-y,z'
'x+1/2,y+1/2,z'
'-x+1/2,-y+1/2,-z'
'-x+1/2,y+1/2,-z'
'x+1/2,-y+1/2,z'
loop_
_atom_site_label
_atom_site_type_symbol
_atom_site_fract_x
_atom_site_fract_y
_atom_site_fract_z
Li1 Li 0.0000 0.0000 0.0000
Sc1 Sc 0.0000 0.5000 0.0000
Sc2 Sc 0.2500 0.2500 0.0000
Cl1 Cl 0.0101 0.2508 0.7844
Cl2 Cl 0.2404 0.0000 0.2157
Cl3 Cl 0.2442 0.5000 0.2281
# * formation energy (no corrections): -1.96 eV per atom

=====

(14)
# Mg2ZnCu (GGA-PBE, optimized geometry)
data_Mg2ZnCu
_cell_length_a 4.3828
_cell_length_b 4.3828
_cell_length_c 14.0133
_cell_angle_alpha 90.00
_cell_angle_beta 90.00
_cell_angle_gamma 90.00
_symmetry_space_group_name_H-M 'I 4/m m m'
_symmetry_Int_Tables_number 139
_symmetry_space_group_name_Hall '-I 4 2'
loop_
_atom_site_label
_atom_site_type_symbol
_atom_site_fract_x
_atom_site_fract_y
_atom_site_fract_z
Mg1 Mg 0.0000 0.0000 0.1398
Mg2 Mg 0.0000 0.5000 0.0000
Zn1 Zn 0.0000 0.5000 0.2500
Cu1 Cu 0.0000 0.0000 0.3581
# * energy relative to the elements: -0.02 eV per atom

=====

(15)
# CoSnBr2 (GGA-PBE, optimized geometry)
data_CoSnBr2
_cell_length_a 3.6411
_cell_length_b 3.6411
_cell_length_c 27.0172
_cell_angle_alpha 90.00
_cell_angle_beta 90.00
_cell_angle_gamma 120.00
_symmetry_space_group_name_H-M 'R -3 m'
_symmetry_Int_Tables_number 166
_symmetry_space_group_name_Hall '-R 3 2"'
loop_
_atom_site_label
_atom_site_type_symbol
_atom_site_fract_x
_atom_site_fract_y
_atom_site_fract_z
Co1 Co 0.0000 0.0000 0.0000
Sn1 Sn 0.0000 0.0000 0.5000
Br1 Br 0.0000 0.0000 0.3878
# * formation energy (no corrections): -0.11 eV per atom

=====

(16)
# Ce2Os (GGA-PBE, optimized geometry)
data_Ce2Os
_cell_length_a 3.8006
_cell_length_b 6.2952
_cell_length_c 12.1258
_cell_angle_alpha 90.00
_cell_angle_beta 90.00
_cell_angle_gamma 90.00
_symmetry_space_group_name_H-M 'I m m m'
_symmetry_Int_Tables_number 71
_symmetry_space_group_name_Hall '-I 2 2'
loop_
_atom_site_label
_atom_site_type_symbol
_atom_site_fract_x
_atom_site_fract_y
_atom_site_fract_z
Ce1 Ce 0.0000 0.0000 0.2160
Ce2 Ce 0.0000 0.2695 0.5000
Os1 Os 0.0000 0.5000 0.1238
# * energy relative to the elements: -0.15 eV per atom

=====

(17)
# ScPtPb2 (GGA-PBE, optimized geometry)
data_ScPtPb2
_cell_length_a 3.4730
_cell_length_b 3.4730
_cell_length_c 7.4870
_cell_angle_alpha 90.00
_cell_angle_beta 90.00
_cell_angle_gamma 90.00
_symmetry_space_group_name_H-M 'P 4/m m m'
_symmetry_Int_Tables_number 123
_symmetry_space_group_name_Hall '-P 4 2'
loop_
_atom_site_label
_atom_site_type_symbol
_atom_site_fract_x
_atom_site_fract_y
_atom_site_fract_z
Sc1 Sc 0.0000 0.0000 0.0000
Pt1 Pt 0.0000 0.0000 0.5000
Pb1 Pb 0.5000 0.5000 0.2719
# * energy relative to the elements: -0.12 eV per atom

=====

(18)
# SrScSi (GGA-PBE, optimized geometry)
data_SrScSi
_cell_length_a 4.6043
_cell_length_b 4.6043
_cell_length_c 7.6960
_cell_angle_alpha 90.00
_cell_angle_beta 90.00
_cell_angle_gamma 90.00
_symmetry_space_group_name_H-M 'P 4/n m m'
_symmetry_Int_Tables_number 129
loop_
_symmetry_equiv_pos_as_xyz
'x,y,z'
'-x,-y,-z'
'-y+1/2,x,z'
'y+1/2,-x,-z'
'-x+1/2,-y+1/2,z'
'x+1/2,y+1/2,-z'
'y,-x+1/2,z'
'-y,x+1/2,-z'
'x+1/2,-y,-z'
'-x+1/2,y,z'
'-y,-x,-z'
'y,x,z'
'-x,y+1/2,-z'
'x,-y+1/2,z'
'y+1/2,x+1/2,-z'
'-y+1/2,-x+1/2,z'
loop_
_atom_site_label
_atom_site_type_symbol
_atom_site_fract_x
_atom_site_fract_y
_atom_site_fract_z
Sr1 Sr 0.2500 0.2500 0.1491
Sc1 Sc 0.2500 0.7500 0.5000
Si1 Si 0.2500 0.2500 0.7094
# * formation energy (no corrections): -0.48 eV per atom

=====

(19)
# ReHg2Rh (GGA-PBE, optimized geometry)
data_ReHg2Rh
_cell_length_a 2.8694
_cell_length_b 4.1754
_cell_length_c 5.8381
_cell_angle_alpha 90.00
_cell_angle_beta 90.00
_cell_angle_gamma 90.00
_symmetry_space_group_name_H-M 'P m m m'
_symmetry_Int_Tables_number 47
loop_
_symmetry_equiv_pos_as_xyz
'x,y,z'
'-x,-y,-z'
'-x,-y,z'
'x,y,-z'
'x,-y,-z'
'-x,y,z'
'-x,y,-z'
'x,-y,z'
loop_
_atom_site_label
_atom_site_type_symbol
_atom_site_fract_x
_atom_site_fract_y
_atom_site_fract_z
Re1 Re 0.0000 0.0000 0.0000
Hg1 Hg 0.5000 0.5000 0.2527
Rh1 Rh 0.0000 0.0000 0.5000
# * energy relative to the elements: 0.76 eV per atom

=====

(20)
# HoThSe2 (GGA-PBE, optimized geometry)
data_HoThSe2
_cell_length_a 7.1872
_cell_length_b 7.1872
_cell_length_c 7.1872
_cell_angle_alpha 90.00
_cell_angle_beta 90.00
_cell_angle_gamma 90.00
_symmetry_space_group_name_H-M 'F m -3 m'
_symmetry_Int_Tables_number 225
_symmetry_space_group_name_Hall '-F 4 2 3'
loop_
_atom_site_label
_atom_site_type_symbol
_atom_site_fract_x
_atom_site_fract_y
_atom_site_fract_z
Ho1 Ho 0.0000 0.0000 0.0000
Th1 Th 0.0000 0.0000 0.5000
Se1 Se 0.2500 0.2500 0.2500
# * formation energy (no corrections): -1.40 eV per atom

=====

(21)
# PaMn3Si2 (GGA-PBE, optimized geometry)
data_PaMn3Si2
_cell_length_a 14.1032
_cell_length_b 3.9509
_cell_length_c 7.0313
_cell_angle_alpha 90.00
_cell_angle_beta 117.20
_cell_angle_gamma 90.00
_symmetry_space_group_name_H-M 'C 1 2/m 1'
_symmetry_Int_Tables_number 12
loop_
_symmetry_equiv_pos_as_xyz
'x,y,z'
'-x,-y,-z'
'-x,y,-z'
'x,-y,z'
'x+1/2,y+1/2,z'
'-x+1/2,-y+1/2,-z'
'-x+1/2,y+1/2,-z'
'x+1/2,-y+1/2,z'
loop_
_atom_site_label
_atom_site_type_symbol
_atom_site_fract_x
_atom_site_fract_y
_atom_site_fract_z
Pa1 Pa 0.1479 0.0000 0.0621
Mn1 Mn 0.0363 0.0000 0.3774
Mn2 Mn 0.0874 0.5000 0.6424
Mn3 Mn 0.2037 0.5000 0.4816
Si1 Si 0.0256 0.5000 0.1945
Si2 Si 0.1892 0.0000 0.6999
# * formation energy (no corrections): -0.44 eV per atom

=====

(22)
# LaMg2Ir (GGA-PBE, optimized geometry)
data_LaMg2Ir
_cell_length_a 8.3646
_cell_length_b 4.5872
_cell_length_c 5.8122
_cell_angle_alpha 90.00
_cell_angle_beta 120.35
_cell_angle_gamma 90.00
_symmetry_space_group_name_H-M 'C 1 m 1'
_symmetry_Int_Tables_number 8
loop_
_symmetry_equiv_pos_as_xyz
'x,y,z'
'x,-y,z'
'x+1/2,y+1/2,z'
'x+1/2,-y+1/2,z'
loop_
_atom_site_label
_atom_site_type_symbol
_atom_site_fract_x
_atom_site_fract_y
_atom_site_fract_z
La1 La 0.0000 0.0000 0.0000
Mg1 Mg 0.1946 0.0000 0.6217
Mg2 Mg 0.4562 0.0000 0.4177
Ir1 Ir 0.2882 0.5000 0.4342
# * energy relative to the elements: -0.34 eV per atom

=====

(23)
# Li3AcZn (GGA-PBE, optimized geometry)
data_Li3AcZn
_cell_length_a 4.9667
_cell_length_b 4.9667
_cell_length_c 4.9667
_cell_angle_alpha 90.00
_cell_angle_beta 90.00
_cell_angle_gamma 90.00
_symmetry_space_group_name_H-M 'P m -3 m'
_symmetry_Int_Tables_number 221
_symmetry_space_group_name_Hall '-P 4 2 3'
loop_
_atom_site_label
_atom_site_type_symbol
_atom_site_fract_x
_atom_site_fract_y
_atom_site_fract_z
Li1 Li 0.0000 0.0000 0.5000
Ac1 Ac 0.5000 0.5000 0.5000
Zn1 Zn 0.0000 0.0000 0.0000
# * energy relative to the elements: 0.10 eV per atom

=====

(24)
# Dy2AsPb (GGA-PBE, optimized geometry)
data_Dy2AsPb
_cell_length_a 3.9755
_cell_length_b 3.9755
_cell_length_c 24.4111
_cell_angle_alpha 90.00
_cell_angle_beta 90.00
_cell_angle_gamma 120.00
_symmetry_space_group_name_H-M 'R 3 m'
_symmetry_Int_Tables_number 160
_symmetry_space_group_name_Hall 'R 3 -2"'
loop_
_atom_site_label
_atom_site_type_symbol
_atom_site_fract_x
_atom_site_fract_y
_atom_site_fract_z
Dy1 Dy 0.0000 0.0000 0.0000
Dy2 Dy 0.0000 0.0000 0.1978
As1 As 0.0000 0.0000 0.5980
Pb1 Pb 0.0000 0.0000 0.7660
# * energy relative to the elements: -0.94 eV per atom

=====

What are the total magnetization values for these records? In order: 0.02 0.00 0.00 0.00 0.00 0.00 0.68 0.00 0.00 0.00 0.00 0.13 0.17 0.00 0.59 0.15 0.00 0.21 0.18 0.00 0.00 0.00 0.17 0.00 μB per atom.